[1]
DFT (PBE) results for crystalline KCa2Sn2 at its relaxed geometry.

For the final energy, the calculation gives -30.339 eV for the cell shown. As for the formation energy: -0.413 eV/atom. The value obtained for the density is 3569 kg/m3.

Cell lengths 9.173, 9.173, 3.945 Å; angles 90.00, 90.00, 90.00 degrees
Space group P4/mbm (No. 127)
One atom of each set of equivalent atoms:
K (0.000, 0.000, 0.000)
Ca (0.168, 0.332, 0.500)
Sn (0.123, 0.623, 0.000)



[2]
DFT (PBE) results for crystalline KCa3Sn at its relaxed geometry.

For the final energy, the calculation gives -11.830 eV for the cell shown. As for the formation energy: -0.145 eV/atom. The value obtained for the density is 1969 kg/m3.

Cell lengths 6.167, 6.167, 6.167 Å; angles 90.00, 90.00, 90.00 degrees
Space group Pm-3m (No. 221)
One atom of each set of equivalent atoms:
K (0.000, 0.000, 0.000)
Ca (0.000, 0.500, 0.500)
Sn (0.500, 0.500, 0.500)



[3]
DFT (PBE) results for crystalline KCa2Sn2 at its relaxed geometry.

For the final energy, the calculation gives -29.602 eV for the cell shown. As for the formation energy: -0.339 eV/atom. The value obtained for the density is 3119 kg/m3.

Cell lengths 5.398, 5.398, 13.034 Å; angles 90.00, 90.00, 90.00 degrees
Space group I4/mmm (No. 139)
One atom of each set of equivalent atoms:
K (0.000, 0.000, 0.000)
Ca (0.000, 0.500, 0.250)
Sn (0.000, 0.000, 0.391)



[4]
DFT (PBE) results for crystalline KCa2YSn at its relaxed geometry.

For the final energy, the calculation gives -10.743 eV for the cell shown. As for the formation energy: 0.965 eV/atom. The value obtained for the density is 2967 kg/m3.

Cell lengths 5.658, 5.658, 5.714 Å; angles 90.00, 90.00, 90.00 degrees
Space group P4/mmm (No. 123)
One atom of each set of equivalent atoms:
K (0.000, 0.000, 0.000)
Ca (0.000, 0.500, 0.000)
Y (0.000, 0.000, 0.500)
Sn (0.500, 0.500, 0.500)



What did the third record say?
DFT (PBE) results for crystalline KCa2Sn2 at its relaxed geometry.

For the final energy, the calculation gives -29.602 eV for the cell shown. As for the formation energy: -0.339 eV/atom. The value obtained for the density is 3119 kg/m3.

Cell lengths 5.398, 5.398, 13.034 Å; angles 90.00, 90.00, 90.00 degrees
Space group I4/mmm (No. 139)
One atom of each set of equivalent atoms:
K (0.000, 0.000, 0.000)
Ca (0.000, 0.500, 0.250)
Sn (0.000, 0.000, 0.391)